{"formula": "Np2BS6", "functional": "PBE", "state": "optimized geometry", "cell": [[6.332, -1.882, 0.000], [6.332, 1.882, 0.000], [-6.121, 0.000, 10.052]], "species": ["Np", "Np", "B", "S", "S", "S", "S", "S", "S"], "frac_coords": [[0.172, 0.172, 0.319], [0.828, 0.828, 0.681], [0.500, 0.500, 0.000], [0.219, 0.219, 0.731], [0.380, 0.380, 0.557], [0.462, 0.462, 0.118], [0.538, 0.538, 0.882], [0.620, 0.620, 0.443], [0.781, 0.781, 0.269]], "final_energy_ev_per_cell": -64.2, "formation_energy_uncorrected_ev_per_atom": -0.769}

---

{"formula": "NpBSb", "functional": "PBE", "state": "optimized geometry", "cell": [[1.651, -9.728, 0.000], [1.651, 9.728, 0.000], [0.000, 0.000, 3.717]], "species": ["Np", "Np", "B", "B", "Sb", "Sb"], "frac_coords": [[0.040, 0.960, 0.750], [0.960, 0.040, 0.250], [0.424, 0.576, 0.750], [0.576, 0.424, 0.250], [0.169, 0.831, 0.250], [0.831, 0.169, 0.750]], "final_energy_ev_per_cell": -45.8, "formation_energy_uncorrected_ev_per_atom": 0.280}

---

{"formula": "NpBSe4", "functional": "PBE", "state": "optimized geometry", "cell": [[6.655, 0.000, 0.000], [0.000, 6.681, 0.000], [0.000, 0.000, 7.561]], "species": ["Np", "Np", "B", "B", "Se", "Se", "Se", "Se", "Se", "Se", "Se", "Se"], "frac_coords": [[0.000, 0.000, 0.000], [0.000, 0.500, 0.500], [0.000, 0.000, 0.500], [0.500, 0.000, 0.000], [0.176, 0.176, 0.332], [0.176, 0.824, 0.668], [0.352, 0.230, 0.878], [0.352, 0.770, 0.122], [0.648, 0.230, 0.122], [0.648, 0.770, 0.878], [0.824, 0.176, 0.668], [0.824, 0.824, 0.332]], "final_energy_ev_per_cell": -70.8, "formation_energy_uncorrected_ev_per_atom": -0.309}

---

{"formula": "NpSiB", "functional": "PBE", "state": "optimized geometry", "cell": [[-1.901, 1.901, 3.557], [1.901, -1.901, 3.557], [1.901, 1.901, -3.557]], "species": ["Np", "Si", "B"], "frac_coords": [[0.000, 0.000, 0.000], [0.625, 0.625, 0.000], [0.353, 0.353, 0.000]], "final_energy_ev_per_cell": -23.5, "relative_energy_ev_per_fu": 2.424, "formation_energy_uncorrected_ev_per_atom": 0.518}